[1]
Computed, not measured: DyPRu2C after structural relaxation at the PBE level of DFT.

```
data_DyPRu2C
_cell_length_a 5.848
_cell_length_b 5.848
_cell_length_c 7.063
_cell_angle_alpha 90.00
_cell_angle_beta 90.00
_cell_angle_gamma 142.25
_symmetry_space_group_name_H-M 'P 1'
_symmetry_Int_Tables_number 1
loop_
_symmetry_equiv_pos_as_xyz
'x,y,z'
loop_
_atom_site_label
_atom_site_fract_x
_atom_site_fract_y
_atom_site_fract_z
Ru1 0.835 0.165 0.053
Ru2 0.835 0.165 0.447
Ru3 0.165 0.835 0.947
Ru4 0.165 0.835 0.553
C1 0.000 0.000 0.500
C2 0.000 0.000 0.000
Dy1 0.544 0.456 0.250
Dy2 0.456 0.544 0.750
P1 0.269 0.731 0.250
P2 0.731 0.269 0.750
```

Computed properties:
size of the total moment: 0.0 μB per formula unit
calculated formation energy: -0.679 eV/atom
crystal system: orthorhombic



[2]
Computed, not measured: Na2PtS4 after structural relaxation at the PBE level of DFT.

```
data_Na2PtS4
_cell_length_a 4.936
_cell_length_b 4.936
_cell_length_c 7.700
_cell_angle_alpha 71.31
_cell_angle_beta 71.31
_cell_angle_gamma 90.00
_symmetry_space_group_name_H-M 'P 1'
_symmetry_Int_Tables_number 1
loop_
_symmetry_equiv_pos_as_xyz
'x,y,z'
loop_
_atom_site_label
_atom_site_fract_x
_atom_site_fract_y
_atom_site_fract_z
Na1 0.373 0.373 0.253
Na2 0.627 0.627 0.747
S1 0.834 0.834 0.332
S2 0.500 0.000 0.000
S3 0.166 0.166 0.668
S4 0.000 0.500 0.000
Pt1 0.000 0.000 0.000
```

Computed properties:
formation energy (no corrections): -15 kJ/mol of atoms
size of the total moment: 2.0 μB per formula unit
crystal system: tetragonal



[3]
Computed, not measured: Ac2Al5Pd5 after structural relaxation at the PBE level of DFT.

```
data_Ac2Al5Pd5
_cell_length_a 4.304
_cell_length_b 5.554
_cell_length_c 9.836
_cell_angle_alpha 90.00
_cell_angle_beta 90.00
_cell_angle_gamma 90.00
_symmetry_space_group_name_H-M 'P 1'
_symmetry_Int_Tables_number 1
loop_
_symmetry_equiv_pos_as_xyz
'x,y,z'
loop_
_atom_site_label
_atom_site_fract_x
_atom_site_fract_y
_atom_site_fract_z
Ac1 0.000 0.000 0.500
Ac2 0.000 0.500 0.000
Al1 0.500 0.500 0.500
Al2 0.500 0.750 0.241
Al3 0.500 0.250 0.241
Al4 0.500 0.250 0.759
Al5 0.500 0.750 0.759
Pd1 0.000 0.500 0.666
Pd2 0.000 0.000 0.189
Pd3 0.000 0.000 0.811
Pd4 0.000 0.500 0.334
Pd5 0.500 0.000 0.000
```

Computed properties:
size of the total moment: 0.0 μB per formula unit
calculated formation energy: -0.804 eV/atom
crystal system: orthorhombic